Record 1
A geometry-optimized TlAgOs3 structure. Source: Alexandria, functional PBE-GGA.

Energy of formation: 14.496 eV per formula unit
Crystal system: cubic

Unit cell a=4.8443 b=4.8443 c=4.8443 alpha=90.00 beta=90.00 gamma=90.00
Positions (direct):
Tl: 0.0000 0.0000 0.0000
Ag: 0.5000 0.5000 0.5000
Os: 0.0000 0.5000 0.5000
Os: 0.5000 0.0000 0.5000
Os: 0.5000 0.5000 0.0000


Record 2
A geometry-optimized Sm3TeO6 structure. Source: Alexandria, functional PBE-GGA.

Crystal system: trigonal
ΔE_f (raw): -257.3 kJ/mol of atoms

Unit cell a=6.9450 b=6.9450 c=6.9450 alpha=93.78 beta=93.78 gamma=93.78
Positions (direct):
Sm: 0.0487 0.7518 0.5649
Sm: 0.2482 0.4351 0.9513
Sm: 0.4351 0.9513 0.2482
Sm: 0.5649 0.0487 0.7518
Sm: 0.7518 0.5649 0.0487
Sm: 0.9513 0.2482 0.4351
Te: 0.0000 0.0000 0.0000
Te: 0.5000 0.5000 0.5000
O: 0.0296 0.6950 0.9098
O: 0.0902 0.9704 0.3050
O: 0.1717 0.4498 0.6271
O: 0.3050 0.0902 0.9704
O: 0.3729 0.8283 0.5502
O: 0.4498 0.6271 0.1717
O: 0.5502 0.3729 0.8283
O: 0.6271 0.1717 0.4498
O: 0.6950 0.9098 0.0296
O: 0.8283 0.5502 0.3729
O: 0.9098 0.0296 0.6950
O: 0.9704 0.3050 0.0902